{"formula": "K5As3Pt3", "functional": "PBE", "state": "relaxed", "lattice": [[10.261, 0.000, 0.000], [-5.130, 8.886, 0.000], [0.000, 0.000, 4.581]], "species": ["As", "As", "As", "K", "K", "K", "K", "K", "Pt", "Pt", "Pt"], "frac_coords": [[0.000, 0.365, 0.000], [0.365, 0.000, 0.000], [0.635, 0.635, 0.000], [0.267, 0.267, 0.000], [0.733, 0.000, 0.000], [0.000, 0.733, 0.000], [0.333, 0.667, 0.000], [0.667, 0.333, 0.000], [0.362, 0.000, 0.500], [0.000, 0.362, 0.500], [0.638, 0.638, 0.500]], "final_energy_ev_per_atom": -3.76, "m_tot_mub_per_cell": 0.00}